This record from Alexandria via LeMat-Bulk describes an optimized crystal structure of DyHg3Pd4. The functional is PBE-GGA. Values from VASP.

Geometry as Quantum ESPRESSO input:
```
&SYSTEM
  ibrav = 0, nat = 8, ntyp = 3
/
ATOMIC_SPECIES
Hg 200.59 Hg.upf
Pd 106.42 Pd.upf
Dy 162.50 Dy.upf
ATOMIC_POSITIONS angstrom
Hg -0.151 2.105 -0.558
Hg 3.096 1.050 3.092
Hg 0.828 3.142 3.066
Pd 1.475 1.566 5.466
Pd 2.448 2.625 0.692
Pd 0.491 0.520 1.820
Pd 3.432 3.672 4.339
Dy 2.108 0.000 -0.569
CELL_PARAMETERS angstrom
4.215 0.000 -1.138
-0.301 4.210 -1.116
0.010 -0.019 8.412
```

- N(E_F): 0.15 states/eV/atom
- ΔE_f: -0.4495 eV/atom
- SG: C2/m (12)
- Volume: 149.2 Å³/f.u.